1.
First-principles (PBE) data for an optimized crystal structure of SmSc2Ag, as listed in Alexandria.

**Magnetization**: 0.00 μB per cell
**ΔE_f**: -0.075 eV per atom
**Energy**: -5.133 eV per atom
**Relative energy among the computed polymorphs**: 0.0134 eV/atom
**D(E_F)**: 6.577 states/eV/f.u.

Cell lengths 4.858, 7.458, 6.128 Å; angles 90.00, 113.20, 90.00 degrees
Space group P2_1/m (No. 11)
Unique sites:
Sm  0.059  0.250  0.118 x2
Sc  0.354  0.041  0.709 x4
Ag  0.207  0.750  0.414 x2

---

2.
First-principles (PBE) data for an optimized crystal structure of Ba8Pd2Au, as listed in Alexandria.

**Magnetization**: 0.00 μB per cell
**ΔE_f**: -0.288 eV per atom
**Energy**: -2.929 eV per atom
**Relative energy among the computed polymorphs**: 0.0480 eV/atom
**D(E_F)**: 10.749 states/eV/f.u.

Cell lengths 21.976, 5.565, 7.916 Å; angles 90.00, 101.51, 90.00 degrees
Space group C2/m (No. 12)
Unique sites:
Ba  0.047  0.000  0.306 x4
Ba  0.087  0.500  0.916 x4
Ba  0.172  0.500  0.465 x4
Ba  0.213  0.000  0.843 x4
Pd  0.199  0.000  0.241 x4
Au  0.000  0.500  0.500 x2

---

3.
First-principles (PBE) data for an optimized crystal structure of BaPu2NbO8, as listed in Alexandria.

**Magnetization**: 7.00 μB per cell
**E_form (uncorrected)**: -2.709 eV/atom
**Energy**: -9.403 eV per atom
**D(E_F)**: 9.123 states/eV/f.u.

Cell lengths 5.137, 7.107, 5.146 Å; angles 90.00, 92.07, 90.00 degrees
Space group P2/m (No. 10)
Unique sites:
Ba  0.000  0.000  0.000 x1
Pu  0.500  0.258  0.500 x2
Nb  0.000  0.500  0.000 x1
O  0.200  0.303  0.197 x4
O  0.295  0.500  0.704 x2
O  0.337  0.000  0.658 x2

---

4.
First-principles (PBE) data for an optimized crystal structure of ThFeTc, as listed in Alexandria.

**Magnetization**: 0.02 μB per cell
**ΔE_f**: 0.285 eV per atom
**Energy**: -8.464 eV per atom
**Relative energy among the computed polymorphs**: 0.3573 eV/atom
**D(E_F)**: 4.104 states/eV/f.u.

Cell lengths 5.346, 7.346, 5.998 Å; angles 90.00, 90.00, 90.00 degrees
Space group Cmcm (No. 63)
Unique sites:
Th  0.000  0.157  0.250 x4
Fe  0.000  0.251  0.750 x4
Tc  0.000  0.500  0.000 x4

---

5.
First-principles (PBE) data for an optimized crystal structure of Pa2FeBi, as listed in Alexandria.

**Magnetization**: 0.00 μB per cell
**ΔE_f**: -0.079 eV per atom
**Energy**: -7.913 eV per atom
**Relative energy among the computed polymorphs**: 0.0782 eV/atom
**D(E_F)**: 6.382 states/eV/f.u.

Cell lengths 4.006, 14.334, 6.657 Å; angles 90.00, 90.00, 90.00 degrees
Space group Cmcm (No. 63)
Unique sites:
Pa  0.000  0.153  0.011 x8
Fe  0.000  0.306  0.250 x4
Bi  0.000  0.500  0.250 x4

---

6.
First-principles (PBE) data for an optimized crystal structure of ZnCrSi2, as listed in Alexandria.

**Magnetization**: 2.30 μB per cell
**E_form (uncorrected)**: 0.185 eV/atom
**Energy**: -5.251 eV per atom
**D(E_F)**: 1.742 states/eV/f.u.

Cell lengths 3.624, 3.700, 4.028 Å; angles 90.00, 90.00, 90.00 degrees
Space group Pmmm (No. 47)
Unique sites:
Zn  0.000  0.000  0.000 x1
Cr  0.000  0.500  0.500 x1
Si  0.500  0.000  0.500 x1
Si  0.500  0.500  0.000 x1

---

7.
First-principles (PBE) data for an optimized crystal structure of CaYAs3, as listed in Alexandria.

**Magnetization**: 0.00 μB per cell
**ΔE_f**: -0.244 eV per atom
**Energy**: -4.727 eV per atom
**Relative energy among the computed polymorphs**: 0.0000 eV/atom
**D(E_F)**: 4.581 states/eV/f.u.

Cell lengths 5.377, 5.377, 5.377 Å; angles 90.00, 90.00, 90.00 degrees
Space group Pm-3m (No. 221)
Unique sites:
Ca  0.000  0.000  0.000 x1
Y  0.500  0.500  0.500 x1
As  0.000  0.500  0.500 x3